The following is a GGA-PBEsol calculation of a relaxed CaLuRh2 crystal, from Alexandria via LeMat-Bulk.

a b c (Å): 4.682 4.682 4.682
angles (deg): 60.00 60.00 60.00
Fractional positions:
Ca: 0.000 0.000 0.000
Lu: 0.500 0.500 0.500
Rh: 0.250 0.250 0.250
Rh: 0.750 0.750 0.750

## Properties
Symmetry: Fm-3m (225)
Crystal system: cubic
E_form (eV per atom): -0.61
Calculated volume (Å³ per cell): 73
Total magnetization (μB/atom): 0.000